# 1
CuSb2TeH | the Alexandria database | PBEsol | relaxed; DOS at the Fermi energy = 0.4312 states/eV/atom; E = -17.41 eV per cell; density = 7.28 g/cm³
1.0
-1.537 -3.972 0.346
2.361 -0.608 3.509
-4.091 1.851 3.074
H Sb Cu Te
1 2 1 1
Direct
0.000 0.000 0.000
0.500 0.000 0.000
0.000 0.500 0.000
0.500 0.500 0.500
0.000 0.000 0.500

# 2
ScCuH2 | the Alexandria database | PBEsol | relaxed; DOS at the Fermi energy = 0.6858 states/eV/atom; E = -36.31 eV per cell; density = 4.66 g/cm³
1.0
-0.386 -0.481 3.963
1.016 -3.862 -0.370
4.398 3.353 -1.194
Cu Sc H
2 2 4
Direct
0.000 0.000 0.000
0.250 0.750 0.500
0.750 0.250 0.500
0.500 0.500 0.000
0.625 0.697 0.750
0.303 0.875 0.250
0.947 0.375 0.250
0.125 0.053 0.750

# 3
CuH3Se | the Alexandria database | PBEsol | relaxed; DOS at the Fermi energy = 0.2885 states/eV/atom; E = -13.82 eV per cell; density = 5.08 g/cm³
1.0
-1.539 2.110 2.511
-3.103 -0.036 -1.871
-1.065 -2.945 1.822
Se H Cu
1 3 1
Direct
0.000 0.000 0.000
0.500 0.000 0.000
0.000 0.500 0.000
0.000 0.000 0.500
0.500 0.500 0.500

Q: Which formula does entry 3 have?
A: CuH3Se

Q: density of number 3 (CuH3Se)?
A: 5.08 g/cm³

Q: E of number 1 (CuSb2TeH)?
A: -17.41 eV per cell